{"formula": "CuSi3Au", "functional": "PBEsol", "state": "relaxed", "formation_energy_uncorrected_kj_per_mol_fu": 330, "de_polymorph_mev_per_atom": 0, "dft_energy_ev_per_atom": -4.42, "sg": "Pm-3m", "magnetic_moment_mub_per_cell": 0.0, "density_kg_m3": 6567, "lattice_angstrom": [[4.4341, 0.0000, 0.0000], [0.0000, 4.4341, 0.0000], [0.0000, 0.0000, 4.4341]], "species": ["Si", "Si", "Si", "Au", "Cu"], "fractional_positions": [[0.0000, 0.5000, 0.0000], [0.5000, 0.0000, 0.0000], [0.0000, 0.0000, 0.5000], [0.5000, 0.5000, 0.5000], [0.0000, 0.0000, 0.0000]]}


{"formula": "MoIrCl2", "functional": "PBEsol", "state": "relaxed", "formation_energy_uncorrected_kj_per_mol_fu": 232, "de_polymorph_mev_per_atom": 848, "dft_energy_ev_per_atom": -5.80, "sg": "Pmmm", "magnetic_moment_mub_per_cell": 1.2, "density_kg_m3": 9652, "lattice_angstrom": [[-1.0813, -0.5251, -2.5537], [-3.6464, -1.0901, 1.7682], [-1.6345, 4.9420, -0.3240]], "species": ["Cl", "Cl", "Mo", "Ir"], "fractional_positions": [[0.5000, 0.0000, 0.5000], [0.0000, 0.0000, 0.0000], [0.0000, 0.5000, 0.5000], [0.5000, 0.5000, 0.0000]]}


{"formula": "LuNiC2", "functional": "PBEsol", "state": "relaxed", "ef_ev_per_atom": -0.42, "dft_energy_ev_per_atom": -8.00, "sg": "Amm2", "magnetic_moment_mub_per_cell": 0.0, "density_kg_m3": 9637, "lattice_angstrom": [[-1.7609, -2.8084, 0.7594], [1.6384, -1.7780, -2.7762], [2.1520, -0.5557, 2.9348]], "species": ["Ni", "C", "C", "Lu"], "fractional_positions": [[0.5000, 0.3881, 0.6119], [0.5000, 0.8540, 0.4555], [0.5000, 0.5445, 0.1460], [0.0000, 0.9983, 0.0017]]}


{"formula": "Re2PRu", "functional": "PBEsol", "state": "relaxed", "ef_ev_per_atom": 0.02, "dft_energy_ev_per_atom": -10.63, "sg": "P2/m", "magnetic_moment_mub_per_cell": 0.0, "density_kg_m3": 15370, "lattice_angstrom": [[-0.8322, 0.5236, 2.5923], [2.1140, -3.0197, 1.2885], [4.3196, 2.8165, -0.4863]], "species": ["Re", "Re", "Ru", "P"], "fractional_positions": [[0.1329, 0.0000, 0.2649], [0.8671, 0.0000, 0.7351], [0.5000, 0.5000, 0.0000], [0.5000, 0.5000, 0.5000]]}


{"formula": "HgTeMoI2", "functional": "PBEsol", "state": "relaxed", "formation_energy_uncorrected_kj_per_mol_fu": 145, "dft_energy_ev_per_atom": -3.58, "sg": "P4/mmm", "magnetic_moment_mub_per_cell": 1.3, "density_kg_m3": 7100, "lattice_angstrom": [[-2.6834, -4.2100, -1.3304], [2.3554, -2.8131, 4.1508], [-4.1065, 1.5493, 3.3802]], "species": ["Mo", "Te", "I", "I", "Hg"], "fractional_positions": [[0.0000, 0.0000, 0.0000], [0.5000, 0.0000, 0.0000], [0.0000, 0.0000, 0.5000], [0.0000, 0.5000, 0.0000], [0.5000, 0.5000, 0.5000]]}


{"formula": "CrBi", "functional": "PBEsol", "state": "relaxed", "ef_ev_per_atom": 0.68, "dft_energy_ev_per_atom": -6.58, "sg": "P2_1/c", "magnetic_moment_mub_per_cell": 15.5, "density_kg_m3": 9508, "lattice_angstrom": [[3.3037, 0.0161, 0.0000], [-0.0379, 6.9378, 0.0000], [0.0000, 0.0000, 7.9539]], "species": ["Bi", "Bi", "Bi", "Bi", "Cr", "Cr", "Cr", "Cr"], "fractional_positions": [[0.7491, 0.5086, 0.7067], [0.2509, 0.4914, 0.2933], [0.2509, 0.9914, 0.2067], [0.7491, 0.0086, 0.7933], [0.2491, 0.3151, 0.9619], [0.7509, 0.1849, 0.4619], [0.7509, 0.6849, 0.0381], [0.2491, 0.8151, 0.5381]]}


{"formula": "LiLa2Mg", "functional": "PBEsol", "state": "relaxed", "de_polymorph_mev_per_atom": 18, "ef_ev_per_atom": 0.03, "dft_energy_ev_per_atom": -3.56, "sg": "Amm2", "magnetic_moment_mub_per_cell": 0.0, "density_kg_m3": 4528, "lattice_angstrom": [[3.4068, 0.0000, 0.0000], [0.0000, 5.1370, 0.0000], [-1.7034, 0.0000, 6.4764]], "species": ["Li", "Mg", "La", "La"], "fractional_positions": [[0.6893, 0.0000, 0.3786], [0.5731, 0.5000, 0.1463], [0.9501, 0.0000, 0.9002], [0.3103, 0.5000, 0.6205]]}


{"formula": "BiBH3", "functional": "PBEsol", "state": "relaxed", "dft_energy_ev_per_atom": -2.79, "sg": "Pm-3m", "magnetic_moment_mub_per_cell": 0.0, "density_kg_m3": 5491, "lattice_angstrom": [[4.0691, 0.0000, 0.0000], [0.0000, 4.0691, 0.0000], [0.0000, 0.0000, 4.0691]], "species": ["H", "H", "H", "Bi", "B"], "fractional_positions": [[0.0000, 0.0000, 0.5000], [0.0000, 0.5000, 0.0000], [0.5000, 0.0000, 0.0000], [0.0000, 0.0000, 0.0000], [0.5000, 0.5000, 0.5000]]}


{"formula": "Nb2OsWS", "functional": "PBEsol", "state": "relaxed", "formation_energy_uncorrected_kj_per_mol_fu": 770, "dft_energy_ev_per_atom": -8.81, "sg": "P4/mmm", "magnetic_moment_mub_per_cell": 0.2, "density_kg_m3": 9785, "lattice_angstrom": [[-1.7120, 0.4814, -3.7691], [0.2421, -4.8491, -0.7293], [-4.4696, -0.5185, 1.9640]], "species": ["Nb", "Nb", "S", "Os", "W"], "fractional_positions": [[0.0000, 0.5000, 0.0000], [0.0000, 0.0000, 0.5000], [0.5000, 0.0000, 0.0000], [0.0000, 0.0000, 0.0000], [0.5000, 0.5000, 0.5000]]}


{"formula": "B2OsWO", "functional": "PBEsol", "state": "relaxed", "formation_energy_uncorrected_kj_per_mol_fu": 628, "dft_energy_ev_per_atom": -7.76, "sg": "P4/mmm", "magnetic_moment_mub_per_cell": 1.2, "density_kg_m3": 10657, "lattice_angstrom": [[3.6425, 0.0000, 0.0000], [0.0000, 4.1966, 0.0000], [0.0000, 0.0000, 4.1966]], "species": ["B", "B", "O", "W", "Os"], "fractional_positions": [[0.0000, 0.0000, 0.5000], [0.0000, 0.5000, 0.0000], [0.5000, 0.0000, 0.0000], [0.0000, 0.0000, 0.0000], [0.5000, 0.5000, 0.5000]]}


{"formula": "K2SbP", "functional": "PBEsol", "state": "relaxed", "formation_energy_uncorrected_kj_per_mol_fu": -51, "de_polymorph_mev_per_atom": 192, "dft_energy_ev_per_atom": -3.29, "sg": "P4mm", "magnetic_moment_mub_per_cell": 0.0, "density_kg_m3": 2780, "lattice_angstrom": [[3.7237, 0.0000, 0.0000], [0.0000, 3.7237, 0.0000], [0.0000, 0.0000, 9.9470]], "species": ["K", "K", "Sb", "P"], "fractional_positions": [[0.5000, 0.5000, 0.3385], [0.0000, 0.0000, 0.9163], [0.5000, 0.5000, 0.6677], [0.0000, 0.0000, 0.5775]]}


{"formula": "MnCu2Cl", "functional": "PBEsol", "state": "relaxed", "formation_energy_uncorrected_kj_per_mol_fu": 136, "de_polymorph_mev_per_atom": 263, "dft_energy_ev_per_atom": -4.76, "sg": "C2/m", "magnetic_moment_mub_per_cell": 4.1, "density_kg_m3": 6394, "lattice_angstrom": [[2.8401, 0.0000, 0.0000], [0.0000, 4.0813, -0.1745], [-1.4200, -1.8502, 4.9518]], "species": ["Cu", "Cu", "Mn", "Cl"], "fractional_positions": [[0.2392, 0.2394, 0.4785], [0.7608, 0.7607, 0.5215], [0.5000, 0.0000, 0.0000], [0.0000, 0.5000, 0.0000]]}


{"formula": "CuW2Au", "functional": "PBEsol", "state": "relaxed", "de_polymorph_mev_per_atom": 155, "ef_ev_per_atom": 0.38, "dft_energy_ev_per_atom": -8.59, "sg": "P2/m", "magnetic_moment_mub_per_cell": 0.0, "density_kg_m3": 17543, "lattice_angstrom": [[-2.1325, -1.4546, 0.7610], [-0.0205, -1.8915, -3.6726], [3.4588, -3.6413, 1.8561]], "species": ["W", "W", "Cu", "Au"], "fractional_positions": [[0.9780, 0.0000, 0.7339], [0.0220, 0.0000, 0.2661], [0.5000, 0.5000, 0.5000], [0.5000, 0.5000, 0.0000]]}


{"formula": "CrSO2", "functional": "PBEsol", "state": "relaxed", "formation_energy_uncorrected_kj_per_mol_fu": -270, "dft_energy_ev_per_atom": -6.98, "sg": "Fd-3m", "magnetic_moment_mub_per_cell": 2.4, "density_kg_m3": 3171, "lattice_angstrom": [[-3.7092, 2.5373, -3.2741], [-0.8524, -1.8361, -5.1786], [-4.7679, -2.5501, -1.2960]], "species": ["Cr", "Cr", "O", "O", "O", "O", "S", "S"], "fractional_positions": [[0.7500, 0.7500, 0.7500], [0.5000, 0.5000, 0.5000], [0.1250, 0.6250, 0.6250], [0.6250, 0.6250, 0.1250], [0.6250, 0.6250, 0.6250], [0.6250, 0.1250, 0.6250], [0.2500, 0.2500, 0.2500], [0.0000, 0.0000, 0.0000]]}


{"formula": "Dy2CoGe2", "functional": "PBEsol", "state": "relaxed", "ef_ev_per_atom": -0.81, "dft_energy_ev_per_atom": -6.32, "sg": "C2/m", "magnetic_moment_mub_per_cell": 0.0, "density_kg_m3": 9281, "lattice_angstrom": [[4.1372, 0.0000, 0.0000], [2.0686, 5.1413, -0.0001], [2.0686, 0.4998, 8.9034]], "species": ["Dy", "Dy", "Dy", "Dy", "Co", "Co", "Ge", "Ge", "Ge", "Ge"], "fractional_positions": [[0.0045, 0.8232, 0.1677], [0.1892, 0.2376, 0.3841], [0.9955, 0.1768, 0.8323], [0.8108, 0.7624, 0.6159], [0.2746, 0.6058, 0.8449], [0.7254, 0.3942, 0.1551], [0.3417, 0.2565, 0.0601], [0.5137, 0.3502, 0.6224], [0.6583, 0.7435, 0.9399], [0.4863, 0.6498, 0.3776]]}


{"formula": "CuAsRh2", "functional": "PBEsol", "state": "relaxed", "ef_ev_per_atom": -0.07, "dft_energy_ev_per_atom": -6.50, "sg": "Imm2", "magnetic_moment_mub_per_cell": 0.0, "density_kg_m3": 10580, "lattice_angstrom": [[2.8806, 0.0000, 0.0000], [0.0000, 4.1808, 0.0000], [-1.4403, -2.0904, 4.4867]], "species": ["As", "Rh", "Rh", "Cu"], "fractional_positions": [[0.5058, 0.5058, 0.0116], [0.9999, 0.9999, 0.9998], [0.2221, 0.7221, 0.4443], [0.7721, 0.2721, 0.5443]]}


{"formula": "ScOs3I", "functional": "PBEsol", "state": "relaxed", "formation_energy_uncorrected_kj_per_mol_fu": 1248, "de_polymorph_mev_per_atom": 408, "dft_energy_ev_per_atom": -6.42, "sg": "Pm-3m", "magnetic_moment_mub_per_cell": 0.0, "density_kg_m3": 12140, "lattice_angstrom": [[4.6657, 0.0000, 0.0000], [0.0000, 4.6657, 0.0000], [0.0000, 0.0000, 4.6657]], "species": ["I", "Os", "Os", "Os", "Sc"], "fractional_positions": [[0.5000, 0.5000, 0.5000], [0.0000, 0.0000, 0.5000], [0.5000, 0.0000, 0.0000], [0.0000, 0.5000, 0.0000], [0.0000, 0.0000, 0.0000]]}


{"formula": "Rb2Te", "functional": "PBEsol", "state": "relaxed", "formation_energy_uncorrected_kj_per_mol_fu": -273, "de_polymorph_mev_per_atom": 33, "dft_energy_ev_per_atom": -2.80, "sg": "P6_3/mmc", "magnetic_moment_mub_per_cell": 0.0, "density_kg_m3": 4042, "lattice_angstrom": [[6.0179, 0.0000, 0.0000], [-3.0090, 5.2117, 0.0000], [0.0000, 0.0000, 7.8208]], "species": ["Te", "Te", "Rb", "Rb", "Rb", "Rb"], "fractional_positions": [[0.6667, 0.3333, 0.7500], [0.3333, 0.6667, 0.2500], [0.6667, 0.3333, 0.2500], [0.0000, 0.0000, 0.0000], [0.3333, 0.6667, 0.7500], [0.0000, 0.0000, 0.5000]]}


{"formula": "Ni3HPt", "functional": "PBEsol", "state": "relaxed", "de_polymorph_mev_per_atom": 1876, "dft_energy_ev_per_atom": -3.94, "sg": "Pm-3m", "magnetic_moment_mub_per_cell": 3.4, "density_kg_m3": 6544, "lattice_angstrom": [[4.5538, 0.0000, 0.0000], [0.0000, 4.5538, 0.0000], [0.0000, 0.0000, 4.5538]], "species": ["Ni", "Ni", "Ni", "Pt", "H"], "fractional_positions": [[0.5000, 0.0000, 0.0000], [0.0000, 0.0000, 0.5000], [0.0000, 0.5000, 0.0000], [0.0000, 0.0000, 0.0000], [0.5000, 0.5000, 0.5000]]}


{"formula": "LaMg2ReSe", "functional": "PBEsol", "state": "relaxed", "formation_energy_uncorrected_kj_per_mol_fu": 215, "dft_energy_ev_per_atom": -4.75, "sg": "P4/mmm", "magnetic_moment_mub_per_cell": 0.0, "density_kg_m3": 6427, "lattice_angstrom": [[-3.5523, 3.0421, 0.1632], [-3.2009, -3.7755, 0.7024], [0.5882, 0.4215, 4.9467]], "species": ["La", "Re", "Mg", "Mg", "Se"], "fractional_positions": [[0.5000, 0.5000, 0.5000], [0.5000, 0.0000, 0.0000], [0.0000, 0.5000, 0.0000], [0.0000, 0.0000, 0.5000], [0.0000, 0.0000, 0.0000]]}


{"formula": "InCoH3", "functional": "PBEsol", "state": "relaxed", "dft_energy_ev_per_atom": -3.93, "sg": "Pm-3m", "magnetic_moment_mub_per_cell": 0.0, "density_kg_m3": 7340, "lattice_angstrom": [[3.4198, 0.0000, 0.0000], [0.0000, 3.4198, 0.0000], [0.0000, 0.0000, 3.4198]], "species": ["In", "Co", "H", "H", "H"], "fractional_positions": [[0.5000, 0.5000, 0.5000], [0.0000, 0.0000, 0.0000], [0.0000, 0.5000, 0.0000], [0.5000, 0.0000, 0.0000], [0.0000, 0.0000, 0.5000]]}


{"formula": "Fe3Pt", "functional": "PBEsol", "state": "relaxed", "ef_ev_per_atom": -0.03, "dft_energy_ev_per_atom": -8.49, "sg": "P4/mmm", "magnetic_moment_mub_per_cell": 8.6, "density_kg_m3": 12198, "lattice_angstrom": [[-1.2277, -2.2583, -1.2629], [2.1263, -0.0841, -1.9167], [3.0983, -3.6972, 3.5993]], "species": ["Fe", "Fe", "Fe", "Pt"], "fractional_positions": [[0.0000, 0.0000, 0.2751], [0.0000, 0.0000, 0.7249], [0.5000, 0.5000, 0.5000], [0.5000, 0.5000, 0.0000]]}


{"formula": "Ru3SeS", "functional": "PBEsol", "state": "relaxed", "formation_energy_uncorrected_kj_per_mol_fu": 337, "dft_energy_ev_per_atom": -7.05, "sg": "Pm-3m", "magnetic_moment_mub_per_cell": 0.0, "density_kg_m3": 8603, "lattice_angstrom": [[-2.7657, -2.4470, 2.2188], [-1.3885, -1.7646, -3.6767], [2.9972, -3.0755, 0.3441]], "species": ["Se", "Ru", "Ru", "Ru", "S"], "fractional_positions": [[0.5000, 0.5000, 0.5000], [0.0000, 0.5000, 0.0000], [0.0000, 0.0000, 0.5000], [0.5000, 0.0000, 0.0000], [0.0000, 0.0000, 0.0000]]}


{"formula": "ZrCuPt2", "functional": "PBEsol", "state": "relaxed", "ef_ev_per_atom": -0.58, "dft_energy_ev_per_atom": -7.42, "sg": "Pmm2", "magnetic_moment_mub_per_cell": 0.0, "density_kg_m3": 14586, "lattice_angstrom": [[2.8601, 0.0000, 0.0260], [0.0000, 3.9825, 0.0000], [-0.0468, 0.0000, 5.4459]], "species": ["Cu", "Zr", "Pt", "Pt"], "fractional_positions": [[0.4998, 0.5000, 0.7724], [0.0000, 0.0000, 0.4983], [0.5003, 0.5000, 0.2552], [0.9999, 0.0000, 0.9741]]}


{"formula": "Hg2IrSe", "functional": "PBEsol", "state": "relaxed", "formation_energy_uncorrected_kj_per_mol_fu": 181, "dft_energy_ev_per_atom": -3.23, "sg": "R-3m", "magnetic_moment_mub_per_cell": 0.0, "density_kg_m3": 14564, "lattice_angstrom": [[-0.0228, -1.5587, -2.4464], [-2.1005, -1.9471, -0.4597], [-6.5497, 6.2343, -5.6309]], "species": ["Hg", "Hg", "Ir", "Se"], "fractional_positions": [[0.2598, 0.2598, 0.2205], [0.7402, 0.7402, 0.7795], [0.0000, 0.0000, 0.0000], [0.5000, 0.5000, 0.5000]]}


{"formula": "Li2ReBi", "functional": "PBEsol", "state": "relaxed", "ef_ev_per_atom": 0.77, "dft_energy_ev_per_atom": -4.61, "sg": "I-42d", "magnetic_moment_mub_per_cell": 0.0, "density_kg_m3": 9736, "lattice_angstrom": [[-0.5854, -2.8316, -4.3996], [0.8070, -5.7103, 0.4178], [-5.2893, -2.0438, -1.1308]], "species": ["Li", "Li", "Li", "Li", "Bi", "Bi", "Re", "Re"], "fractional_positions": [[0.1394, 0.9856, 0.4856], [0.8750, 0.5144, 0.9856], [0.6106, 0.0144, 0.5144], [0.3750, 0.4856, 0.0144], [0.7500, 0.5000, 0.5000], [0.0000, 0.0000, 0.0000], [0.2500, 0.5000, 0.5000], [0.5000, 0.0000, 0.0000]]}


{"formula": "PIrW", "functional": "PBEsol", "state": "relaxed", "de_polymorph_mev_per_atom": 0, "ef_ev_per_atom": -0.09, "dft_energy_ev_per_atom": -9.90, "sg": "P3m1", "magnetic_moment_mub_per_cell": 0.0, "density_kg_m3": 16136, "lattice_angstrom": [[-1.5916, 2.1946, -0.7517], [-3.4138, -2.1418, 0.9751], [1.8700, 2.3386, 2.8681]], "species": ["P", "Ir", "W"], "fractional_positions": [[0.6525, 0.6667, 0.3333], [0.9130, 0.0000, 0.0000], [0.4345, 0.3333, 0.6667]]}


{"formula": "HfGaAg2As", "functional": "PBEsol", "state": "relaxed", "ef_ev_per_atom": 0.76, "dft_energy_ev_per_atom": -4.35, "sg": "P4/mmm", "magnetic_moment_mub_per_cell": 0.0, "density_kg_m3": 8267, "lattice_angstrom": [[4.8691, 0.0000, 0.0000], [0.0000, 4.7148, 0.0000], [0.0000, 0.0000, 4.7148]], "species": ["Ag", "Ag", "Hf", "As", "Ga"], "fractional_positions": [[0.0000, 0.0000, 0.5000], [0.0000, 0.5000, 0.0000], [0.5000, 0.5000, 0.5000], [0.0000, 0.0000, 0.0000], [0.5000, 0.0000, 0.0000]]}